Record 1
First-principles (GGA-PBE) data for crystalline Dy5Tm2In4 at its relaxed geometry, as listed in the Alexandria database. Values from VASP.

The structure in Quantum ESPRESSO input format:
```
&SYSTEM
  ibrav = 0, nat = 11, ntyp = 3
/
ATOMIC_SPECIES
In 114.82 In.upf
Dy 162.50 Dy.upf
Tm 168.93 Tm.upf
CELL_PARAMETERS angstrom
-2.958 -1.439 -0.985
-0.366 -4.292 7.367
-5.564 13.661 2.739
ATOMIC_POSITIONS angstrom
In -4.514 1.394 5.531
In -4.375 6.536 3.590
In -0.118 -1.378 2.365
In -0.249 -2.914 5.002
Dy -1.479 -0.720 -0.493
Dy -2.841 5.193 0.946
Dy -2.985 3.510 3.835
Dy -5.904 4.420 5.286
Dy -6.048 2.737 8.175
Tm -1.387 2.073 1.138
Tm -7.501 5.857 7.982
```

crystal system	orthorhombic
uncorrected energy	-39.5	eV per cell
energy of formation from the pure elements	0.314	eV/atom
distance to the lowest polymorph of the same formula	556	meV per atom

Record 2
First-principles (GGA-PBE) data for crystalline Dy5Tm6In at its relaxed geometry, as listed in the Alexandria database. Values from VASP.

The structure in Quantum ESPRESSO input format:
```
&SYSTEM
  ibrav = 0, nat = 12, ntyp = 3
/
ATOMIC_SPECIES
Tm 168.93 Tm.upf
Dy 162.50 Dy.upf
In 114.82 In.upf
CELL_PARAMETERS angstrom
4.700 -0.007 -1.368
-3.185 8.370 -2.229
0.132 -0.437 9.217
ATOMIC_POSITIONS angstrom
Tm 2.753 1.935 0.691
Tm 0.688 7.438 2.325
Tm -0.146 3.425 -0.521
Tm -1.106 5.991 4.930
Tm 1.794 4.501 6.142
Tm 0.959 0.488 3.296
Dy -2.067 5.401 1.630
Dy -0.283 6.900 -1.007
Dy 0.824 3.963 2.810
Dy -0.986 2.532 5.358
Dy 1.930 1.026 6.628
In 0.000 0.000 0.000
```

crystal system	orthorhombic
uncorrected energy	-53.2	eV per cell
energy of formation from the pure elements	-0.050	eV/atom

Record 3
First-principles (GGA-PBE) data for crystalline Dy4Tm3In2 at its relaxed geometry, as listed in the Alexandria database. Values from VASP.

The structure in Quantum ESPRESSO input format:
```
&SYSTEM
  ibrav = 0, nat = 9, ntyp = 3
/
ATOMIC_SPECIES
In 114.82 In.upf
Tm 168.93 Tm.upf
Dy 162.50 Dy.upf
CELL_PARAMETERS angstrom
-4.235 3.093 -0.268
-5.774 -3.445 0.070
-4.676 -1.260 8.042
ATOMIC_POSITIONS angstrom
In -9.257 -3.293 5.498
In -5.429 1.682 2.346
Tm -6.618 0.287 5.107
Tm 0.000 0.000 0.000
Tm -8.067 -1.898 2.738
Dy -10.159 -0.108 5.096
Dy -6.625 -0.145 0.134
Dy -8.060 -1.467 7.711
Dy -4.526 -1.504 2.748
```

crystal system	monoclinic
uncorrected energy	-39.0	eV per cell
energy of formation from the pure elements	-0.191	eV/atom

Record 4
First-principles (GGA-PBE) data for crystalline Dy7TmIn2 at its relaxed geometry, as listed in the Alexandria database. Values from VASP.

The structure in Quantum ESPRESSO input format:
```
&SYSTEM
  ibrav = 0, nat = 10, ntyp = 3
/
ATOMIC_SPECIES
Dy 162.50 Dy.upf
In 114.82 In.upf
Tm 168.93 Tm.upf
CELL_PARAMETERS angstrom
5.330 0.000 0.000
0.000 9.002 -0.186
0.000 -4.227 7.950
ATOMIC_POSITIONS angstrom
Dy 0.000 -1.260 6.126
Dy 2.665 -0.723 2.382
Dy 2.665 2.387 3.882
Dy 2.665 5.497 5.382
Dy 2.665 2.323 7.334
Dy 0.000 6.035 1.639
Dy 2.665 2.452 0.430
In 2.665 4.977 2.290
In 2.665 -0.202 5.474
Tm 0.000 0.000 0.000
```

crystal system	orthorhombic
uncorrected energy	-38.6	eV per cell
energy of formation from the pure elements	0.352	eV/atom